Entry 1:
PBE NaPuAgI5, relaxed; total DFT energy (no corrections) = -33.25 eV per formula unit; formation energy without anion corrections = -0.875 eV per atom; DOS(E_F) = 24.56 states/eV per cell; magnetic moment = 5.000 μB per formula unit; theoretical density = 4.88 g cm⁻³
1.0
8.445 -0.711 -0.089
-3.145 7.870 -0.089
-2.266 -3.061 10.771
Na Pu Ag I
2 2 2 10
Direct
0.443 0.557 0.250
0.557 0.443 0.750
0.000 0.000 0.500
0.000 0.000 0.000
0.721 0.279 0.250
0.279 0.721 0.750
0.084 0.916 0.250
0.916 0.084 0.750
0.012 0.358 0.139
0.988 0.642 0.861
0.642 0.988 0.361
0.358 0.012 0.639
0.763 0.574 0.453
0.237 0.426 0.547
0.426 0.237 0.047
0.574 0.763 0.953



Entry 2:
PBE PmY2Zn, relaxed; total DFT energy (no corrections) = -19.06 eV per formula unit; relative energy among the computed polymorphs = 142 meV/atom; DOS(E_F) = 5.66 states/eV per cell; magnetic moment = 0.006 μB per formula unit; theoretical density = 5.84 g cm⁻³
1.0
-3.576 2.478 2.007
1.578 -1.251 4.357
2.778 3.913 0.118
Y Zn Pm
2 1 1
Direct
0.000 0.000 0.500
0.000 0.500 0.000
0.500 0.000 0.000
0.500 0.500 0.500



Entry 3:
PBE CaThSe2, relaxed; total DFT energy (no corrections) = -23.28 eV per formula unit; formation energy without anion corrections = -1.721 eV per atom; relative energy among the computed polymorphs = 0 meV/atom; DOS(E_F) = 1.91 states/eV per cell; magnetic moment = 0.000 μB per formula unit; theoretical density = 6.80 g cm⁻³
1.0
-0.087 -1.580 -3.753
-0.637 -2.394 3.232
-14.345 2.721 -0.812
Ca Th Se
2 2 4
Direct
0.000 0.000 0.500
0.000 0.000 0.000
0.667 0.333 0.250
0.333 0.667 0.750
0.333 0.667 0.381
0.667 0.333 0.881
0.667 0.333 0.619
0.333 0.667 0.119



Entry 4:
PBE KNaAg2Ir, relaxed; total DFT energy (no corrections) = -10.47 eV per formula unit; DOS(E_F) = 3.28 states/eV per cell; magnetic moment = 0.462 μB per formula unit; theoretical density = 6.51 g cm⁻³
1.0
4.946 0.000 0.000
0.000 4.899 0.000
0.000 0.000 4.946
Na K Ir Ag
1 1 1 2
Direct
0.000 0.000 0.000
0.000 0.500 0.000
0.500 0.500 0.500
0.000 0.000 0.500
0.500 0.000 0.000